Entry 1:
Here is a relaxed ScHgP2Pd crystal from the Alexandria database. Energies are from GGA-PBE.

Cell and atoms, written as extended XYZ:
```
5
Lattice="4.855 0.000 0.000 0.000 4.855 0.000 0.000 0.000 5.291" Properties=species:S:1:pos:R:3 pbc="T T T"
Sc 0.000 0.000 0.000
Hg 0.000 0.000 2.646
P 0.000 2.427 2.646
P 2.427 0.000 2.646
Pd 2.427 2.427 0.000
```

N(E_F)   0.78 states/eV/atom
Energy relative to the elements   1.06 eV per atom
Calculated volume   124.7 Å³/cell
Calculated density   5.5 g cm⁻³

Entry 2:
Here is a relaxed PmBiSbPb crystal from the Alexandria database. Energies are from GGA-PBE.

Cell and atoms, written as extended XYZ:
```
4
Lattice="0.000 3.951 3.951 3.951 0.000 3.951 3.951 3.951 0.000" Properties=species:S:1:pos:R:3 pbc="T T T"
Pm 0.000 0.000 0.000
Bi 1.976 1.976 1.976
Sb 5.927 5.927 5.927
Pb 3.951 3.951 3.951
```

N(E_F)   0.51 states/eV/atom
Calculated volume   123.4 Å³/cell
Calculated density   9.2 g cm⁻³
Energy relative to the elements, uncorrected   -0.33 eV/atom

Entry 3:
Here is a relaxed Pm2MgHg crystal from the Alexandria database. Energies are from GGA-PBE.

Cell and atoms, written as extended XYZ:
```
4
Lattice="0.000 3.830 3.830 3.830 0.000 3.830 3.830 3.830 0.000" Properties=species:S:1:pos:R:3 pbc="T T T"
Pm 1.915 1.915 1.915
Pm 5.746 5.746 5.746
Mg 0.000 0.000 0.000
Hg 3.830 3.830 3.830
```

N(E_F)   1.25 states/eV/atom
Energy relative to the elements   -0.27 eV per atom
Calculated volume   112.4 Å³/cell
Calculated density   7.6 g cm⁻³
Distance to the lowest polymorph of the same formula   8 kJ/mol of formula units

Entry 4:
Here is a relaxed In2Hg2Se crystal from the Alexandria database. Energies are from GGA-PBE.

Cell and atoms, written as extended XYZ:
```
10
Lattice="7.809 0.000 0.000 0.000 7.809 0.000 0.000 0.000 4.486" Properties=species:S:1:pos:R:3 pbc="T T T"
In 1.370 2.534 0.000
In 2.534 6.439 0.000
In 5.275 1.370 0.000
In 6.439 5.275 0.000
Hg 1.045 4.950 2.243
Hg 2.860 1.045 2.243
Hg 4.950 6.764 2.243
Hg 6.764 2.860 2.243
Se 0.000 0.000 2.243
Se 3.905 3.905 2.243
```

N(E_F)   0.40 states/eV/atom
Calculated volume   273.6 Å³/cell
Calculated density   8.6 g cm⁻³
Energy relative to the elements, uncorrected   0.00 eV/atom
Distance to the lowest polymorph of the same formula   96 kJ/mol of formula units

Entry 5:
Here is a relaxed Li2Ni6H crystal from the Alexandria database. Energies are from GGA-PBE.

Cell and atoms, written as extended XYZ:
```
9
Lattice="-2.517 2.517 3.541 2.517 -2.517 3.541 2.517 2.517 -3.541" Properties=species:S:1:pos:R:3 pbc="T T T"
Li 2.517 0.000 1.770
Li 0.000 2.517 1.770
Ni 0.000 0.000 1.739
Ni 1.239 1.239 0.000
Ni 1.278 -1.278 3.541
Ni -1.278 1.278 3.541
Ni 0.000 0.000 5.343
Ni 1.278 1.278 3.541
H 0.000 0.000 3.541
```

N(E_F)   0.77 states/eV/atom
E   -4.666 eV per atom
Calculated volume   89.7 Å³/cell
Calculated density   6.8 g cm⁻³

Entry 6:
Here is a relaxed Sm8Er2Sn crystal from the Alexandria database. Energies are from GGA-PBE.

Cell and atoms, written as extended XYZ:
```
11
Lattice="9.105 -2.483 0.000 9.105 2.483 0.000 -2.146 0.000 7.731" Properties=species:S:1:pos:R:3 pbc="T T T"
Sm 0.298 0.000 1.783
Sm 1.030 0.000 5.244
Sm 4.582 0.000 4.585
Sm 7.337 0.000 0.462
Sm 8.727 0.000 7.269
Sm 11.482 0.000 3.146
Sm 15.034 0.000 2.487
Sm 15.766 0.000 5.948
Er 3.793 0.000 1.025
Er 12.271 0.000 6.706
Sn 8.032 0.000 3.865
```

N(E_F)   1.41 states/eV/atom
Energy relative to the elements   -0.12 eV per atom
Calculated volume   349.6 Å³/cell
Calculated density   7.9 g cm⁻³

Entry 7:
Here is a relaxed TbErU2As4 crystal from the Alexandria database. Energies are from GGA-PBE.

Cell and atoms, written as extended XYZ:
```
8
Lattice="7.040 0.000 0.000 0.000 4.064 0.000 -2.346 0.000 6.790" Properties=species:S:1:pos:R:3 pbc="T T T"
Tb 0.000 0.000 0.000
Er 3.520 2.032 0.000
U -1.173 2.032 3.395
U 2.347 0.000 3.395
As 0.013 0.000 5.090
As 1.186 2.032 1.708
As 4.682 0.000 1.699
As 3.509 2.032 5.081
```

N(E_F)   0.91 states/eV/atom
Energy relative to the elements   -1.13 eV per atom
Calculated volume   194.3 Å³/cell
Calculated density   9.4 g cm⁻³

Entry 8:
Here is a relaxed HfNbIr2 crystal from the Alexandria database. Energies are from GGA-PBE.

Cell and atoms, written as extended XYZ:
```
8
Lattice="-2.943 2.943 5.829 2.943 -2.943 5.829 2.943 2.943 -5.829" Properties=species:S:1:pos:R:3 pbc="T T T"
Hf 0.000 0.000 0.000
Hf 0.000 2.943 2.915
Nb 2.943 0.000 2.915
Nb 0.000 0.000 5.829
Ir 1.472 -1.395 4.372
Ir 1.548 1.472 1.457
Ir 1.472 4.338 -1.457
Ir 1.395 1.472 7.286
```

N(E_F)   1.11 states/eV/atom
Energy relative to the elements   0.39 eV per atom
Calculated volume   202.0 Å³/cell
Calculated density   10.8 g cm⁻³